# 1
# PBE Sc2TlIn, optimized geometry
data_Sc2TlIn
_chemical_formula_sum 'Sc4 Tl2 In2'
_space_group_name_H-M_alt 'C m m 2'
_space_group_IT_number 35
_cell_length_a 4.820
_cell_length_b 4.871
_cell_length_c 8.358
_cell_angle_alpha 90.00
_cell_angle_beta 90.00
_cell_angle_gamma 90.00
loop_
_space_group_symop_operation_xyz
'x,y,z'
'-x,-y,z'
'-x,y,z'
'x,-y,z'
'x+1/2,y+1/2,z'
'-x+1/2,-y+1/2,z'
'-x+1/2,y+1/2,z'
'x+1/2,-y+1/2,z'
loop_
_atom_site_label
_atom_site_fract_x
_atom_site_fract_y
_atom_site_fract_z
_atom_site_occupancy
Sc1 0.000 0.000 0.000 1
Sc2 0.000 0.500 0.253 1
Tl1 0.000 0.000 0.502 1
In1 0.000 0.500 0.763 1
# V	24.5	Å³ per atom
# polymorph energy (0 for the lowest one)	234.5	meV per atom
# ρ	6.92	Mg/m³
# ΔE_f	-109	meV/atom

---

# 2
# PBE Sc4Tl2In, optimized geometry
data_Sc4Tl2In
_chemical_formula_sum 'Sc8 Tl4 In2'
_space_group_name_H-M_alt 'I 4/m m m'
_space_group_IT_number 139
_space_group_name_Hall '-I 4 2'
_cell_length_a 5.482
_cell_length_b 5.482
_cell_length_c 12.310
_cell_angle_alpha 90.00
_cell_angle_beta 90.00
_cell_angle_gamma 90.00
loop_
_atom_site_label
_atom_site_fract_x
_atom_site_fract_y
_atom_site_fract_z
_atom_site_occupancy
Sc1 0.000 0.500 0.000 1
Sc2 0.000 0.500 0.250 1
Tl1 0.000 0.000 0.133 1
In1 0.000 0.000 0.500 1
# V	26.4	Å³ per atom
# polymorph energy (0 for the lowest one)	245.2	meV per atom
# ρ	6.31	Mg/m³
# ΔE_f	73	meV/atom

---

# 3
# PBE Sc6TlIn, optimized geometry
data_Sc6TlIn
_chemical_formula_sum 'Sc6 Tl1 In1'
_space_group_name_H-M_alt 'P m -3'
_space_group_IT_number 200
_space_group_name_Hall '-P 2 2 3'
_cell_length_a 5.701
_cell_length_b 5.701
_cell_length_c 5.701
_cell_angle_alpha 90.00
_cell_angle_beta 90.00
_cell_angle_gamma 90.00
loop_
_atom_site_label
_atom_site_fract_x
_atom_site_fract_y
_atom_site_fract_z
_atom_site_occupancy
Sc1 0.000 0.250 0.500 1
Tl1 0.000 0.000 0.000 1
In1 0.500 0.500 0.500 1
# V	23.2	Å³ per atom
# polymorph energy (0 for the lowest one)	44.2	meV per atom
# ρ	5.28	Mg/m³
# ΔE_f	-203	meV/atom

---

# 4
# PBE Sc2TlIn, optimized geometry
data_Sc2TlIn
_chemical_formula_sum 'Sc6 Tl3 In3'
_space_group_name_H-M_alt 'R -3 m'
_space_group_IT_number 166
_space_group_name_Hall '-R 3 2"'
_cell_length_a 3.3906
_cell_length_b 3.3906
_cell_length_c 32.1380
_cell_angle_alpha 90.00
_cell_angle_beta 90.00
_cell_angle_gamma 120.00
loop_
_atom_site_label
_atom_site_fract_x
_atom_site_fract_y
_atom_site_fract_z
_atom_site_occupancy
Sc1 0.0000 0.0000 0.0938 1
Tl1 0.0000 0.0000 0.0000 1
In1 0.0000 0.0000 0.5000 1
# V	26.7	Å³ per atom
# polymorph energy (0 for the lowest one)	335.7	meV per atom
# ρ	6.37	Mg/m³
# ΔE_f	-8	meV/atom

---

- Look up the polymorph energy (0 for the lowest one) of the first one.
  234.5 meV per atom